# PBE Sc2Ga2Co5Tc, relaxed
data_Sc2Ga2Co5Tc
_chemical_formula_sum 'Sc4 Ga4 Co10 Tc2'
_cell_length_a 9.070
_cell_length_b 9.070
_cell_length_c 3.372
_cell_angle_alpha 90.00
_cell_angle_beta 90.00
_cell_angle_gamma 90.00
_symmetry_space_group_name_H-M 'P 4/m b m'
_symmetry_Int_Tables_number 127
_symmetry_space_group_name_Hall '-P 4 2ab'
loop_
_atom_site_label
_atom_site_type_symbol
_atom_site_fract_x
_atom_site_fract_y
_atom_site_fract_z
_atom_site_occupancy
Sc1 Sc 0.172 0.328 0.000 1
Ga1 Ga 0.127 0.627 0.000 1
Co1 Co 0.000 0.500 0.500 1
Co2 Co 0.057 0.804 0.500 1
Tc1 Tc 0.000 0.000 0.000 1
# crystal system = tetragonal
# M_tot = 1.17 μB/f.u.
# total DFT energy (no corrections) = -6.624 eV/atom

# PBE Fe2Sn2H, relaxed
data_Fe2Sn2H
_chemical_formula_sum 'Fe4 Sn4 H2'
_cell_length_a 5.807
_cell_length_b 5.807
_cell_length_c 4.470
_cell_angle_alpha 90.00
_cell_angle_beta 90.00
_cell_angle_gamma 90.00
_symmetry_space_group_name_H-M 'P 4/m b m'
_symmetry_Int_Tables_number 127
_symmetry_space_group_name_Hall '-P 4 2ab'
loop_
_atom_site_label
_atom_site_type_symbol
_atom_site_fract_x
_atom_site_fract_y
_atom_site_fract_z
_atom_site_occupancy
Fe1 Fe 0.149 0.351 0.000 1
Sn1 Sn 0.178 0.678 0.500 1
H1 H 0.000 0.000 0.000 1
# crystal system = tetragonal
# M_tot = 4.54 μB/f.u.
# total DFT energy (no corrections) = -5.213 eV/atom

# PBE VNiSe3, relaxed
data_VNiSe3
_chemical_formula_sum 'V2 Ni2 Se6'
_cell_length_a 6.027
_cell_length_b 3.398
_cell_length_c 10.017
_cell_angle_alpha 90.00
_cell_angle_beta 102.72
_cell_angle_gamma 90.00
_symmetry_space_group_name_H-M 'P 1 21/m 1'
_symmetry_Int_Tables_number 11
loop_
_symmetry_equiv_pos_as_xyz
'x,y,z'
'-x,-y,-z'
'-x,y+1/2,-z'
'x,-y+1/2,z'
loop_
_atom_site_label
_atom_site_type_symbol
_atom_site_fract_x
_atom_site_fract_y
_atom_site_fract_z
_atom_site_occupancy
V1 V 0.175 0.250 0.453 1
Ni1 Ni 0.458 0.250 0.847 1
Se1 Se 0.081 0.250 0.681 1
Se2 Se 0.309 0.250 0.044 1
Se3 Se 0.432 0.750 0.370 1
# crystal system = monoclinic
# E above lowest polymorph = 10.5 kJ/mol of atoms
# M_tot = 0.00 μB/f.u.
# ΔE_f (raw) = -1.850 eV/f.u.

# PBE VTeSe4, relaxed
data_VTeSe4
_chemical_formula_sum 'V2 Te2 Se8'
_cell_length_a 14.451
_cell_length_b 3.677
_cell_length_c 6.764
_cell_angle_alpha 90.00
_cell_angle_beta 116.12
_cell_angle_gamma 90.00
_symmetry_space_group_name_H-M 'C 1 2/m 1'
_symmetry_Int_Tables_number 12
loop_
_symmetry_equiv_pos_as_xyz
'x,y,z'
'-x,-y,-z'
'-x,y,-z'
'x,-y,z'
'x+1/2,y+1/2,z'
'-x+1/2,-y+1/2,-z'
'-x+1/2,y+1/2,-z'
'x+1/2,-y+1/2,z'
loop_
_atom_site_label
_atom_site_type_symbol
_atom_site_fract_x
_atom_site_fract_y
_atom_site_fract_z
_atom_site_occupancy
V1 V 0.000 0.000 0.000 1
Te1 Te 0.000 0.500 0.500 1
Se1 Se 0.112 0.500 0.257 1
Se2 Se 0.120 0.000 0.816 1
# crystal system = monoclinic
# M_tot = 1.01 μB/f.u.
# ΔE_f (raw) = -1.859 eV/f.u.

# PBE Y4TlGa2, relaxed
data_Y4TlGa2
_chemical_formula_sum 'Y12 Tl3 Ga6'
_cell_length_a 5.0183
_cell_length_b 5.0183
_cell_length_c 27.3477
_cell_angle_alpha 90.00
_cell_angle_beta 90.00
_cell_angle_gamma 120.00
_symmetry_space_group_name_H-M 'R -3 m'
_symmetry_Int_Tables_number 166
_symmetry_space_group_name_Hall '-R 3 2"'
loop_
_atom_site_label
_atom_site_type_symbol
_atom_site_fract_x
_atom_site_fract_y
_atom_site_fract_z
_atom_site_occupancy
Y1 Y 0.0000 0.0000 0.1181 1
Y2 Y 0.0000 0.0000 0.2953 1
Tl1 Tl 0.0000 0.0000 0.5000 1
Ga1 Ga 0.0000 0.0000 0.4006 1
# crystal system = trigonal
# M_tot = 0.00 μB/f.u.
# total DFT energy (no corrections) = -5.168 eV/atom

# PBE Pd2SeCl2, relaxed
data_Pd2SeCl2
_chemical_formula_sum 'Pd4 Se2 Cl4'
_cell_length_a 7.056
_cell_length_b 7.056
_cell_length_c 4.552
_cell_angle_alpha 90.00
_cell_angle_beta 90.00
_cell_angle_gamma 90.00
_symmetry_space_group_name_H-M 'P 4/m b m'
_symmetry_Int_Tables_number 127
_symmetry_space_group_name_Hall '-P 4 2ab'
loop_
_atom_site_label
_atom_site_type_symbol
_atom_site_fract_x
_atom_site_fract_y
_atom_site_fract_z
_atom_site_occupancy
Pd1 Pd 0.233 0.267 0.000 1
Se1 Se 0.000 0.000 0.000 1
Cl1 Cl 0.168 0.332 0.500 1
# crystal system = tetragonal
# E above lowest polymorph = 0.0 kJ/mol of atoms
# M_tot = 0.00 μB/f.u.
# ΔE_f (raw) = -0.587 eV/f.u.

# PBE Ba2MgHg8, relaxed
data_Ba2MgHg8
_chemical_formula_sum 'Ba4 Mg2 Hg16'
_cell_length_a 16.955
_cell_length_b 5.407
_cell_length_c 7.633
_cell_angle_alpha 90.00
_cell_angle_beta 113.06
_cell_angle_gamma 90.00
_symmetry_space_group_name_H-M 'C 1 2/m 1'
_symmetry_Int_Tables_number 12
loop_
_symmetry_equiv_pos_as_xyz
'x,y,z'
'-x,-y,-z'
'-x,y,-z'
'x,-y,z'
'x+1/2,y+1/2,z'
'-x+1/2,-y+1/2,-z'
'-x+1/2,y+1/2,-z'
'x+1/2,-y+1/2,z'
loop_
_atom_site_label
_atom_site_type_symbol
_atom_site_fract_x
_atom_site_fract_y
_atom_site_fract_z
_atom_site_occupancy
Ba1 Ba 0.216 0.000 0.201 1
Mg1 Mg 0.000 0.500 0.500 1
Hg1 Hg 0.001 0.000 0.210 1
Hg2 Hg 0.100 0.500 0.916 1
Hg3 Hg 0.125 0.500 0.333 1
Hg4 Hg 0.142 0.000 0.628 1
# crystal system = monoclinic
# M_tot = 0.00 μB/f.u.
# total DFT energy (no corrections) = -1.039 eV/atom

# PBE PmGa5Pt2Au, relaxed
data_PmGa5Pt2Au
_chemical_formula_sum 'Pm1 Ga5 Pt2 Au1'
_cell_length_a 4.318
_cell_length_b 4.318
_cell_length_c 10.419
_cell_angle_alpha 90.00
_cell_angle_beta 90.00
_cell_angle_gamma 90.00
_symmetry_space_group_name_H-M 'P 4/m m m'
_symmetry_Int_Tables_number 123
_symmetry_space_group_name_Hall '-P 4 2'
loop_
_atom_site_label
_atom_site_type_symbol
_atom_site_fract_x
_atom_site_fract_y
_atom_site_fract_z
_atom_site_occupancy
Pm1 Pm 0.000 0.000 0.000 1
Ga1 Ga 0.000 0.500 0.345 1
Ga2 Ga 0.500 0.500 0.000 1
Pt1 Pt 0.500 0.500 0.225 1
Au1 Au 0.000 0.000 0.500 1
# crystal system = tetragonal
# M_tot = 0.00 μB/f.u.
# total DFT energy (no corrections) = -4.350 eV/atom

# PBE Yb5S9, relaxed
data_Yb5S9
_chemical_formula_sum 'Yb10 S18'
_cell_length_a 8.671
_cell_length_b 8.869
_cell_length_c 9.692
_cell_angle_alpha 71.88
_cell_angle_beta 86.88
_cell_angle_gamma 64.61
_symmetry_space_group_name_H-M 'P -1'
_symmetry_Int_Tables_number 2
loop_
_symmetry_equiv_pos_as_xyz
'x,y,z'
'-x,-y,-z'
loop_
_atom_site_label
_atom_site_type_symbol
_atom_site_fract_x
_atom_site_fract_y
_atom_site_fract_z
_atom_site_occupancy
Yb1 Yb 0.030 0.255 0.373 1
Yb2 Yb 0.161 0.704 0.188 1
Yb3 Yb 0.258 0.243 0.996 1
Yb4 Yb 0.363 0.734 0.845 1
Yb5 Yb 0.452 0.278 0.625 1
S1 S 0.069 0.398 0.600 1
S2 S 0.090 0.642 0.916 1
S3 S 0.120 0.005 0.956 1
S4 S 0.164 0.884 0.381 1
S5 S 0.283 0.353 0.225 1
S6 S 0.313 0.671 0.576 1
S7 S 0.379 0.148 0.425 1
S8 S 0.426 0.019 0.834 1
S9 S 0.498 0.622 0.141 1
# crystal system = triclinic
# M_tot = 2.16 μB/f.u.
# ΔE_f (raw) = -19.688 eV/f.u.

# PBE VPt, relaxed
data_VPt
_chemical_formula_sum 'V2 Pt2'
_cell_length_a 2.692
_cell_length_b 4.482
_cell_length_c 4.840
_cell_angle_alpha 90.00
_cell_angle_beta 90.00
_cell_angle_gamma 90.00
_symmetry_space_group_name_H-M 'P m m n'
_symmetry_Int_Tables_number 59
loop_
_symmetry_equiv_pos_as_xyz
'x,y,z'
'-x,-y,-z'
'-x+1/2,-y+1/2,z'
'x+1/2,y+1/2,-z'
'x+1/2,-y,-z'
'-x+1/2,y,z'
'-x,y+1/2,-z'
'x,-y+1/2,z'
loop_
_atom_site_label
_atom_site_type_symbol
_atom_site_fract_x
_atom_site_fract_y
_atom_site_fract_z
_atom_site_occupancy
V1 V 0.250 0.250 0.112 1
Pt1 Pt 0.250 0.750 0.386 1
# crystal system = orthorhombic
# M_tot = 0.00 μB/f.u.
# total DFT energy (no corrections) = -7.914 eV/atom

# PBE Y2AsS, relaxed
data_Y2AsS
_chemical_formula_sum 'Y6 As3 S3'
_cell_length_a 4.0415
_cell_length_b 4.0415
_cell_length_c 19.5936
_cell_angle_alpha 90.00
_cell_angle_beta 90.00
_cell_angle_gamma 120.00
_symmetry_space_group_name_H-M 'R -3 m'
_symmetry_Int_Tables_number 166
_symmetry_space_group_name_Hall '-R 3 2"'
loop_
_atom_site_label
_atom_site_type_symbol
_atom_site_fract_x
_atom_site_fract_y
_atom_site_fract_z
_atom_site_occupancy
Y1 Y 0.0000 0.0000 0.2494 1
As1 As 0.0000 0.0000 0.0000 1
S1 S 0.0000 0.0000 0.5000 1
# crystal system = trigonal
# E above lowest polymorph = 0.0 kJ/mol of atoms
# M_tot = 0.00 μB/f.u.
# ΔE_f (raw) = -7.228 eV/f.u.

# PBE Nd4SmTl, relaxed
data_Nd4SmTl
_chemical_formula_sum 'Nd16 Sm4 Tl4'
_cell_length_a 5.767
_cell_length_b 21.568
_cell_length_c 6.578
_cell_angle_alpha 90.00
_cell_angle_beta 90.00
_cell_angle_gamma 90.00
_symmetry_space_group_name_H-M 'C m c 21'
_symmetry_Int_Tables_number 36
loop_
_symmetry_equiv_pos_as_xyz
'x,y,z'
'-x,-y,z+1/2'
'-x,y,z'
'x,-y,z+1/2'
'x+1/2,y+1/2,z'
'-x+1/2,-y+1/2,z+1/2'
'-x+1/2,y+1/2,z'
'x+1/2,-y+1/2,z+1/2'
loop_
_atom_site_label
_atom_site_type_symbol
_atom_site_fract_x
_atom_site_fract_y
_atom_site_fract_z
_atom_site_occupancy
Nd1 Nd 0.000 0.043 0.000 1
Nd2 Nd 0.000 0.187 0.837 1
Nd3 Nd 0.000 0.249 0.305 1
Nd4 Nd 0.000 0.438 0.182 1
Sm1 Sm 0.000 0.364 0.695 1
Tl1 Tl 0.000 0.104 0.442 1
# crystal system = orthorhombic
# E above lowest polymorph = 4.2 kJ/mol of atoms
# M_tot = 0.00 μB/f.u.